--- A ---
Here is an optimized crystal structure of SmErSe3 from Alexandria. Energies are from PBE.

a b c (Å): 8.0858 4.0776 8.2262
angles (deg): 90.00 95.00 90.00
Fractional positions:
Sm: 0.1198 0.2500 0.2711
Sm: 0.8802 0.7500 0.7289
Er: 0.3541 0.7500 0.8240
Er: 0.6459 0.2500 0.1760
Se: 0.1238 0.2500 0.8897
Se: 0.1841 0.7500 0.5233
Se: 0.3980 0.7500 0.1797
Se: 0.6020 0.2500 0.8203
Se: 0.8159 0.2500 0.4767
Se: 0.8762 0.7500 0.1103

Volume (Å³ per cell): 270
Crystal system: monoclinic


--- B ---
Here is an optimized crystal structure of SmErSe3 from Alexandria. Energies are from PBE.

a b c (Å): 7.6897 4.0967 16.0102
angles (deg): 90.00 90.00 90.00
Fractional positions:
Sm: 0.1400 0.2500 0.2013
Sm: 0.3600 0.7500 0.7013
Sm: 0.6400 0.2500 0.2987
Sm: 0.8600 0.7500 0.7987
Er: 0.2292 0.7500 0.4577
Er: 0.2708 0.2500 0.9577
Er: 0.7292 0.7500 0.0423
Er: 0.7708 0.2500 0.5423
Se: 0.0088 0.2500 0.3941
Se: 0.1215 0.7500 0.0634
Se: 0.1521 0.2500 0.7845
Se: 0.3479 0.7500 0.2845
Se: 0.3785 0.2500 0.5634
Se: 0.4912 0.7500 0.8941
Se: 0.5088 0.2500 0.1059
Se: 0.6215 0.7500 0.4366
Se: 0.6521 0.2500 0.7155
Se: 0.8479 0.7500 0.2155
Se: 0.8785 0.2500 0.9366
Se: 0.9912 0.7500 0.6059

Volume (Å³ per cell): 504
Crystal system: orthorhombic


Stability summary: most stable B, least stable A.


--- A ---
Here is an optimized crystal structure of Sm2ErSe4 from Alexandria. Energies are from PBE.

a b c (Å): 7.1593 7.1593 13.9816
angles (deg): 90.00 90.00 147.69
Fractional positions:
Sm: 0.1299 0.8701 0.5712
Sm: 0.1299 0.8701 0.9288
Sm: 0.8701 0.1299 0.0712
Sm: 0.8701 0.1299 0.4288
Er: 0.3719 0.6281 0.7500
Er: 0.6281 0.3719 0.2500
Se: 0.0212 0.9788 0.7500
Se: 0.2198 0.7802 0.1252
Se: 0.2198 0.7802 0.3748
Se: 0.5000 0.5000 0.0000
Se: 0.5000 0.5000 0.5000
Se: 0.7802 0.2198 0.6252
Se: 0.7802 0.2198 0.8748
Se: 0.9788 0.0212 0.2500

Volume (Å³ per cell): 383
Crystal system: orthorhombic
DOS at the Fermi energy (states/eV/cell): 4.4


--- B ---
Here is an optimized crystal structure of Sm2ErSe4 from Alexandria. Energies are from PBE.

a b c (Å): 8.1849 8.1849 8.1849
angles (deg): 119.61 119.19 91.04
Fractional positions:
Sm: 0.0000 0.0000 0.0000
Sm: 0.5000 0.0000 0.0000
Sm: 0.5000 0.0000 0.5000
Sm: 0.5000 0.5000 0.5000
Er: 0.0000 0.0000 0.5000
Er: 0.0000 0.5000 0.0000
Se: 0.2355 0.7425 0.4930
Se: 0.2464 0.2471 0.5007
Se: 0.2464 0.7457 0.9993
Se: 0.2505 0.2575 0.9930
Se: 0.7495 0.7425 0.0070
Se: 0.7536 0.2543 0.0007
Se: 0.7536 0.7529 0.4993
Se: 0.7645 0.2575 0.5070

Volume (Å³ per cell): 391
Crystal system: orthorhombic
DOS at the Fermi energy (states/eV/cell): 4.1


Stability summary: most stable B, least stable A.


--- A ---
Here is an optimized crystal structure of Sm4Er3Se8 from Alexandria. Energies are from PBE.

a b c (Å): 8.9047 8.9047 8.9047
angles (deg): 53.93 53.93 53.93
Fractional positions:
Sm: 0.0000 0.0000 0.0000
Sm: 0.1460 0.1460 0.1460
Sm: 0.5000 0.5000 0.5000
Sm: 0.8540 0.8540 0.8540
Er: 0.0000 0.5000 0.5000
Er: 0.5000 0.0000 0.5000
Er: 0.5000 0.5000 0.0000
Se: 0.2498 0.2498 0.7365
Se: 0.2498 0.7365 0.2498
Se: 0.2635 0.7502 0.7502
Se: 0.2685 0.2685 0.2685
Se: 0.7315 0.7315 0.7315
Se: 0.7365 0.2498 0.2498
Se: 0.7502 0.2635 0.7502
Se: 0.7502 0.7502 0.2635

Volume (Å³ per cell): 428
Crystal system: trigonal
DOS at the Fermi energy (states/eV/cell): 7.1


--- B ---
Here is an optimized crystal structure of Sm4Er3Se8 from Alexandria. Energies are from PBE.

a b c (Å): 8.1919 8.1919 8.1879
angles (deg): 119.94 119.94 90.04
Fractional positions:
Sm: 0.0000 0.0000 0.0000
Sm: 0.0000 0.5000 0.0000
Sm: 0.5000 0.0000 0.0000
Sm: 0.5000 0.5000 0.5000
Er: 0.0000 0.5000 0.5000
Er: 0.5000 0.0000 0.5000
Er: 0.5000 0.5000 0.0000
Se: 0.2438 0.7562 0.5000
Se: 0.2475 0.2475 0.5078
Se: 0.2481 0.2481 0.9882
Se: 0.2539 0.7461 0.0000
Se: 0.7461 0.2539 0.0000
Se: 0.7519 0.7519 0.0118
Se: 0.7525 0.7525 0.4922
Se: 0.7562 0.2438 0.5000

Volume (Å³ per cell): 389
Crystal system: monoclinic
DOS at the Fermi energy (states/eV/cell): 6.2


Stability summary: most stable B, least stable A.


--- A ---
Here is an optimized crystal structure of SrEr2Se4 from Alexandria. Energies are from PBE.

a b c (Å): 12.5973 4.1256 14.9210
angles (deg): 90.00 90.00 90.00
Fractional positions:
Sr: 0.2398 0.2500 0.1661
Sr: 0.2602 0.7500 0.6661
Sr: 0.7398 0.2500 0.3339
Sr: 0.7602 0.7500 0.8339
Er: 0.0615 0.2500 0.3893
Er: 0.0829 0.2500 0.9022
Er: 0.4171 0.7500 0.4022
Er: 0.4385 0.7500 0.8893
Er: 0.5615 0.2500 0.1107
Er: 0.5829 0.2500 0.5978
Er: 0.9171 0.7500 0.0978
Er: 0.9385 0.7500 0.6107
Se: 0.0277 0.7500 0.7845
Se: 0.0903 0.2500 0.5770
Se: 0.1288 0.7500 0.0302
Se: 0.2048 0.7500 0.3299
Se: 0.2952 0.2500 0.8299
Se: 0.3712 0.2500 0.5302
Se: 0.4097 0.7500 0.0770
Se: 0.4723 0.2500 0.2845
Se: 0.5277 0.7500 0.7155
Se: 0.5903 0.2500 0.9230
Se: 0.6288 0.7500 0.4698
Se: 0.7048 0.7500 0.1701
Se: 0.7952 0.2500 0.6701
Se: 0.8712 0.2500 0.9698
Se: 0.9097 0.7500 0.4230
Se: 0.9723 0.2500 0.2155

Volume (Å³ per cell): 775
Crystal system: orthorhombic


--- B ---
Here is an optimized crystal structure of SrEr2Se4 from Alexandria. Energies are from PBE.

a b c (Å): 7.0467 7.0467 14.0360
angles (deg): 90.00 90.00 146.06
Fractional positions:
Sr: 0.1114 0.8886 0.7500
Sr: 0.8886 0.1114 0.2500
Er: 0.3655 0.6345 0.5684
Er: 0.3655 0.6345 0.9316
Er: 0.6345 0.3655 0.0684
Er: 0.6345 0.3655 0.4316
Se: 0.0000 0.0000 0.0000
Se: 0.0000 0.0000 0.5000
Se: 0.2704 0.7296 0.1147
Se: 0.2704 0.7296 0.3853
Se: 0.4453 0.5547 0.7500
Se: 0.5547 0.4453 0.2500
Se: 0.7296 0.2704 0.6147
Se: 0.7296 0.2704 0.8853

Volume (Å³ per cell): 389
Crystal system: orthorhombic


Stability summary: most stable A, least stable B.


--- A ---
Here is an optimized crystal structure of SrErSe2 from Alexandria. Energies are from PBE.

a b c (Å): 7.7262 7.7262 7.7262
angles (deg): 30.90 30.90 30.90
Fractional positions:
Sr: 0.0000 0.0000 0.0000
Er: 0.1741 0.1741 0.1741
Se: 0.5789 0.5789 0.5789
Se: 0.7632 0.7632 0.7632

Volume (Å³ per cell): 108
Crystal system: trigonal
DOS at the Fermi energy (states/eV/cell): 2.3


--- B ---
Here is an optimized crystal structure of SrErSe2 from Alexandria. Energies are from PBE.

a b c (Å): 7.4290 7.4290 7.4290
angles (deg): 32.67 32.67 32.67
Fractional positions:
Sr: 0.0000 0.0000 0.0000
Er: 0.5000 0.5000 0.5000
Se: 0.2424 0.2424 0.2424
Se: 0.7576 0.7576 0.7576

Volume (Å³ per cell): 106
Crystal system: trigonal
DOS at the Fermi energy (states/eV/cell): 1.7


Stability summary: most stable B, least stable A.


--- A ---
Here is an optimized crystal structure of TbEr2Se from Alexandria. Energies are from PBE.

a b c (Å): 10.5593 10.5593 10.5593
angles (deg): 20.01 20.01 20.01
Fractional positions:
Tb: 0.0000 0.0000 0.0000
Er: 0.1084 0.1084 0.1084
Er: 0.8916 0.8916 0.8916
Se: 0.5000 0.5000 0.5000

Volume (Å³ per cell): 121
Crystal system: trigonal
DOS at the Fermi energy (states/eV/cell): 4.7


--- B ---
Here is an optimized crystal structure of TbEr2Se from Alexandria. Energies are from PBE.

a b c (Å): 9.6262 9.6262 9.6262
angles (deg): 22.48 22.48 22.48
Fractional positions:
Tb: 0.0000 0.0000 0.0000
Er: 0.5666 0.5666 0.5666
Er: 0.7679 0.7679 0.7679
Se: 0.1671 0.1671 0.1671

Volume (Å³ per cell): 114
Crystal system: trigonal
DOS at the Fermi energy (states/eV/cell): 3.8


--- C ---
Here is an optimized crystal structure of TbEr2Se from Alexandria. Energies are from PBE.

a b c (Å): 3.5885 3.5885 8.4110
angles (deg): 90.00 90.00 90.00
Fractional positions:
Tb: 0.0000 0.0000 0.0000
Er: 0.5000 0.5000 0.2906
Er: 0.5000 0.5000 0.7094
Se: 0.0000 0.0000 0.5000

Volume (Å³ per cell): 108
Crystal system: tetragonal
DOS at the Fermi energy (states/eV/cell): 4.4


Stability summary: most stable B, least stable A.


--- A ---
Here is an optimized crystal structure of Tb2ErSe4 from Alexandria. Energies are from PBE.

a b c (Å): 8.0919 8.0919 8.0919
angles (deg): 119.42 119.39 91.04
Fractional positions:
Tb: 0.0000 0.0000 0.0000
Tb: 0.5000 0.0000 0.0000
Tb: 0.5000 0.0000 0.5000
Tb: 0.5000 0.5000 0.5000
Er: 0.0000 0.5000 0.5000
Er: 0.5000 0.5000 0.0000
Se: 0.2434 0.2464 0.5030
Se: 0.2434 0.7404 0.9970
Se: 0.2497 0.7485 0.5013
Se: 0.2528 0.2515 0.0013
Se: 0.7472 0.7485 0.9987
Se: 0.7503 0.2515 0.4987
Se: 0.7566 0.2596 0.0030
Se: 0.7566 0.7536 0.4970

Volume (Å³ per cell): 378
Crystal system: orthorhombic
DOS at the Fermi energy (states/eV/cell): 4.0


--- B ---
Here is an optimized crystal structure of Tb2ErSe4 from Alexandria. Energies are from PBE.

a b c (Å): 7.0337 7.0337 13.8255
angles (deg): 90.00 90.00 147.37
Fractional positions:
Tb: 0.1300 0.8700 0.5703
Tb: 0.1300 0.8700 0.9297
Tb: 0.8700 0.1300 0.0703
Tb: 0.8700 0.1300 0.4297
Er: 0.3722 0.6278 0.7500
Er: 0.6278 0.3722 0.2500
Se: 0.0252 0.9748 0.7500
Se: 0.2214 0.7786 0.1237
Se: 0.2214 0.7786 0.3763
Se: 0.5000 0.5000 0.0000
Se: 0.5000 0.5000 0.5000
Se: 0.7786 0.2214 0.6237
Se: 0.7786 0.2214 0.8763
Se: 0.9748 0.0252 0.2500

Volume (Å³ per cell): 369
Crystal system: orthorhombic
DOS at the Fermi energy (states/eV/cell): 4.7


Stability summary: most stable A, least stable B.


--- A ---
Here is an optimized crystal structure of TbEr3Se6 from Alexandria. Energies are from PBE.

a b c (Å): 11.5125 4.0767 11.7868
angles (deg): 90.00 109.17 90.00
Fractional positions:
Tb: 0.0444 0.2500 0.1932
Tb: 0.9556 0.7500 0.8068
Er: 0.1591 0.2500 0.5836
Er: 0.3173 0.7500 0.9987
Er: 0.4336 0.2500 0.3327
Er: 0.5664 0.7500 0.6673
Er: 0.6827 0.2500 0.0013
Er: 0.8409 0.7500 0.4164
Se: 0.0826 0.7500 0.4022
Se: 0.1123 0.2500 0.9652
Se: 0.1936 0.7500 0.7503
Se: 0.2551 0.7500 0.2236
Se: 0.3953 0.2500 0.5618
Se: 0.4797 0.2500 0.1149
Se: 0.5203 0.7500 0.8851
Se: 0.6047 0.7500 0.4382
Se: 0.7449 0.2500 0.7764
Se: 0.8064 0.2500 0.2497
Se: 0.8877 0.7500 0.0348
Se: 0.9174 0.2500 0.5978

Volume (Å³ per cell): 523
Crystal system: monoclinic


--- B ---
Here is an optimized crystal structure of TbEr3Se6 from Alexandria. Energies are from PBE.

a b c (Å): 8.3574 8.3574 8.3574
angles (deg): 90.87 90.87 90.87
Fractional positions:
Tb: 0.0000 0.0000 0.0000
Tb: 0.5000 0.5000 0.5000
Er: 0.0698 0.5792 0.7454
Er: 0.2546 0.9302 0.4208
Er: 0.4208 0.2546 0.9302
Er: 0.5792 0.7454 0.0698
Er: 0.7454 0.0698 0.5792
Er: 0.9302 0.4208 0.2546
Se: 0.0363 0.9054 0.6776
Se: 0.0946 0.3224 0.9637
Se: 0.1822 0.5913 0.4140
Se: 0.3224 0.9637 0.0946
Se: 0.4087 0.5860 0.8178
Se: 0.4140 0.1822 0.5913
Se: 0.5860 0.8178 0.4087
Se: 0.5913 0.4140 0.1822
Se: 0.6776 0.0363 0.9054
Se: 0.8178 0.4087 0.5860
Se: 0.9054 0.6776 0.0363
Se: 0.9637 0.0946 0.3224

Volume (Å³ per cell): 584
Crystal system: trigonal
DOS at the Fermi energy (states/eV/cell): 0.0


Stability summary: most stable A, least stable B.


--- A ---
Here is an optimized crystal structure of Tb2ErSe from Alexandria. Energies are from PBE.

a b c (Å): 3.6103 3.6103 8.4512
angles (deg): 90.00 90.00 90.00
Fractional positions:
Tb: 0.0000 0.0000 0.2099
Tb: 0.0000 0.0000 0.7901
Er: 0.5000 0.5000 0.5000
Se: 0.5000 0.5000 0.0000

Volume (Å³ per cell): 110
Crystal system: tetragonal
DOS at the Fermi energy (states/eV/cell): 3.9


--- B ---
Here is an optimized crystal structure of Tb2ErSe from Alexandria. Energies are from PBE.

a b c (Å): 10.5073 10.5073 10.5073
angles (deg): 20.41 20.41 20.41
Fractional positions:
Tb: 0.1080 0.1080 0.1080
Tb: 0.8920 0.8920 0.8920
Er: 0.0000 0.0000 0.0000
Se: 0.5000 0.5000 0.5000

Volume (Å³ per cell): 123
Crystal system: trigonal
DOS at the Fermi energy (states/eV/cell): 5.3


--- C ---
Here is an optimized crystal structure of Tb2ErSe from Alexandria. Energies are from PBE.

a b c (Å): 9.6298 9.6298 9.6298
angles (deg): 22.76 22.76 22.76
Fractional positions:
Tb: 0.0000 0.0000 0.0000
Tb: 0.2009 0.2009 0.2009
Er: 0.4332 0.4332 0.4332
Se: 0.6004 0.6004 0.6004

Volume (Å³ per cell): 117
Crystal system: trigonal
DOS at the Fermi energy (states/eV/cell): 3.7


Stability summary: most stable C, least stable B.